1.
PBE La4TbPm5, relaxed; E above lowest polymorph = 0.016 eV per atom
1.0
3.538 0.000 -0.766
-1.597 8.617 -7.378
1.235 -2.869 14.257
La Pm Tb
4 5 1
direct
0.657 0.063 0.314 La
0.970 0.691 0.939 La
0.030 0.309 0.061 La
0.343 0.937 0.686 La
0.500 0.500 0.000 Pm
0.827 0.209 0.653 Pm
0.173 0.791 0.347 Pm
0.828 0.603 0.655 Pm
0.172 0.397 0.345 Pm
0.500 0.000 0.000 Tb

2.
PBE La3Tb6Pm, relaxed; E above lowest polymorph = 0.000 eV per atom
1.0
6.404 0.000 0.000
0.000 10.980 -1.671
0.000 -4.079 10.330
Tb La Pm
12 6 2
direct
0.647 0.276 0.724 Tb
0.870 0.036 0.964 Tb
0.372 0.051 0.470 Tb
0.049 0.376 0.286 Tb
0.872 0.949 0.530 Tb
0.549 0.624 0.714 Tb
0.147 0.724 0.276 Tb
0.872 0.470 0.051 Tb
0.549 0.286 0.376 Tb
0.049 0.714 0.624 Tb
0.372 0.530 0.949 Tb
0.370 0.964 0.036 Tb
0.073 0.388 0.612 La
0.465 0.289 0.060 La
0.465 0.940 0.711 La
0.573 0.612 0.388 La
0.965 0.060 0.289 La
0.965 0.711 0.940 La
0.122 0.192 0.808 Pm
0.622 0.808 0.192 Pm

3.
PBE La2Tb6Pm, relaxed; E above lowest polymorph = 0.029 eV per atom
1.0
6.047 -0.028 -0.016
0.036 7.666 0.008
0.036 3.826 6.643
La Tb Pm
2 6 1
direct
0.217 0.333 0.333 La
0.783 0.667 0.667 La
0.291 0.376 0.812 Tb
0.291 0.812 0.376 Tb
0.709 0.188 0.624 Tb
0.709 0.624 0.188 Tb
0.709 0.188 0.188 Tb
0.291 0.812 0.812 Tb
0.000 0.000 0.000 Pm

4.
PBE LaTb3Pm5, relaxed; E above lowest polymorph = 0.316 eV per atom
1.0
-8.970 1.347 2.093
-6.934 -4.553 -4.224
-6.992 -8.229 5.433
Tb Pm La
6 10 2
direct
0.000 0.000 0.500 Tb
0.748 0.748 0.187 Tb
0.252 0.252 0.813 Tb
0.000 0.000 0.000 Tb
0.273 0.273 0.296 Tb
0.727 0.727 0.704 Tb
0.438 0.438 0.412 Pm
0.651 0.651 0.028 Pm
0.686 0.314 0.000 Pm
0.070 0.705 0.823 Pm
0.705 0.070 0.823 Pm
0.562 0.562 0.588 Pm
0.295 0.930 0.177 Pm
0.314 0.686 0.000 Pm
0.349 0.349 0.972 Pm
0.930 0.295 0.177 Pm
0.857 0.857 0.357 La
0.143 0.143 0.643 La

5.
PBE La2TbPm, relaxed; E above lowest polymorph = 0.004 eV per atom
1.0
5.120 0.000 0.000
0.000 5.222 0.000
0.000 0.000 5.222
La Pm Tb
2 1 1
direct
0.000 0.000 0.500 La
0.000 0.500 0.000 La
0.500 0.000 0.000 Pm
0.500 0.500 0.500 Tb

6.
PBE La2Tb3Pm, relaxed; E above lowest polymorph = 0.000 eV per atom
1.0
5.661 0.000 0.000
-2.831 8.472 -1.233
0.000 -4.542 9.285
La Tb Pm
4 6 2
direct
0.777 0.553 0.134 La
0.515 0.030 0.869 La
0.223 0.447 0.866 La
0.485 0.970 0.131 La
0.298 0.595 0.580 Tb
0.390 0.779 0.347 Tb
0.053 0.105 0.402 Tb
0.947 0.895 0.598 Tb
0.610 0.221 0.653 Tb
0.702 0.405 0.420 Tb
0.864 0.727 0.851 Pm
0.136 0.273 0.149 Pm

7.
PBE La5Tb3Pm, relaxed; E above lowest polymorph = 0.031 eV per atom
1.0
-5.239 -6.452 2.975
6.192 -2.333 5.843
-3.709 9.545 1.074
Pm Tb La
2 6 10
direct
0.750 0.250 0.500 Pm
0.250 0.750 0.500 Pm
0.120 0.380 0.000 Tb
0.880 0.620 0.000 Tb
0.380 0.880 0.000 Tb
0.750 0.750 0.500 Tb
0.250 0.250 0.500 Tb
0.620 0.120 0.000 Tb
0.662 0.162 0.720 La
0.558 0.662 0.720 La
0.442 0.338 0.280 La
0.338 0.838 0.280 La
0.058 0.558 0.720 La
0.838 0.942 0.280 La
0.500 0.500 0.000 La
0.000 0.000 0.000 La
0.942 0.442 0.280 La
0.162 0.058 0.720 La

8.
PBE La3Tb7Pm, relaxed; E above lowest polymorph = 0.000 eV per atom
1.0
-3.697 -3.553 -7.194
5.334 -4.734 -0.404
-5.865 -1.541 3.775
Tb La Pm
7 3 1
direct
0.444 0.833 0.665 Tb
0.444 0.335 0.167 Tb
0.124 0.667 0.333 Tb
0.122 0.167 0.334 Tb
0.122 0.167 0.833 Tb
0.122 0.666 0.833 Tb
0.444 0.833 0.167 Tb
0.784 0.500 0.500 La
0.784 0.500 0.001 La
0.784 0.999 0.500 La
0.443 0.333 0.667 Pm

9.
PBE LaTb6Pm4, relaxed; E above lowest polymorph = 0.160 eV per atom
1.0
-6.280 6.271 -4.117
6.103 -7.228 -2.493
0.047 -8.621 4.624
Tb Pm La
6 4 1
direct
0.000 0.805 0.447 Tb
0.500 0.000 0.500 Tb
0.500 0.500 0.000 Tb
0.358 0.553 0.553 Tb
0.642 0.195 0.195 Tb
0.000 0.447 0.805 Tb
0.000 0.633 0.013 Pm
0.619 0.987 0.987 Pm
0.381 0.367 0.367 Pm
0.000 0.013 0.633 Pm
0.000 0.000 0.000 La

10.
First-principles (PBE) data for a relaxed structure of La6TbPm, as listed in Alexandria.

Structure (POSCAR):
```
La6TbPm
1.0
-3.075 -2.573 -3.346
2.395 -4.473 1.237
-6.953 -1.613 7.629
La Tb Pm
6 1 1
direct
0.500 0.500 0.500 La
0.000 0.500 0.749 La
0.500 0.000 0.251 La
0.000 0.500 0.251 La
0.500 0.500 0.000 La
0.500 0.000 0.749 La
0.000 0.000 0.500 Tb
0.000 0.000 0.000 Pm
```

11.
First-principles (PBE) data for a relaxed structure of La12TbPm5, as listed in Alexandria.

Structure (POSCAR):
```
La12TbPm5
1.0
11.063 -0.001 -0.045
5.532 9.609 0.763
0.026 1.662 6.201
La Pm Tb
12 5 1
direct
0.665 0.333 0.000 La
0.670 0.000 0.000 La
0.497 0.667 0.500 La
0.330 0.000 0.000 La
0.164 0.333 0.500 La
0.503 0.333 0.500 La
0.335 0.667 0.000 La
0.168 0.000 0.500 La
0.836 0.667 0.500 La
0.998 0.667 0.000 La
0.002 0.333 0.000 La
0.832 0.000 0.500 La
0.667 0.667 0.001 Pm
0.834 0.333 0.502 Pm
0.166 0.667 0.498 Pm
0.333 0.333 0.999 Pm
0.500 0.000 0.500 Pm
0.000 0.000 0.000 Tb
```

12.
PBE La2TbPm4, relaxed; E above lowest polymorph = 0.039 eV per atom
1.0
-1.398 -6.748 -0.207
5.926 -4.587 -5.315
4.743 -4.698 6.312
Pm La Tb
8 4 2
direct
0.786 0.240 0.740 Pm
0.858 0.150 0.133 Pm
0.233 0.240 0.740 Pm
0.767 0.760 0.260 Pm
0.214 0.760 0.260 Pm
0.142 0.850 0.867 Pm
0.142 0.367 0.350 Pm
0.858 0.633 0.650 Pm
0.500 0.000 0.000 La
0.500 0.500 0.500 La
0.723 0.027 0.527 La
0.277 0.973 0.473 La
0.500 0.500 0.000 Tb
0.000 0.500 0.000 Tb

no.,DFT formation energy (meV per atom)
1,172
2,145
3,221
4,444
5,15
6,92
7,269
8,172
9,310
10,7
11,18
12,212